Record 1
LiMoSe2: optimized geometry, PBE-GGA.

Lattice parameters (Å, degrees): 6.617 6.617 6.617 33.70 33.70 33.70
Each line ends with the local moment (μB).
Positions (direct):
Li (0.500, 0.500, 0.500)  0.00
Mo (0.000, 0.000, 0.000)  2.45
Se (0.256, 0.256, 0.256)  0.02
Se (0.744, 0.744, 0.744)  0.02

Values from the calculation:
Space group = R-3m, No. 166
E = -21.81 eV per cell



Record 2
LiMo3Se5: optimized geometry, PBE-GGA.

Lattice parameters (Å, degrees): 5.769 5.769 7.423 90.00 90.00 120.00
Each line ends with the local moment (μB).
Positions (direct):
Li (0.000, 0.000, 0.000)  0.01
Mo (0.500, 0.000, 0.500)  1.02
Mo (0.000, 0.500, 0.500)  1.32
Mo (0.500, 0.500, 0.500)  0.96
Se (0.667, 0.333, 0.235)  -0.01
Se (0.333, 0.667, 0.235)  -0.01
Se (0.000, 0.000, 0.500)  0.03
Se (0.667, 0.333, 0.765)  -0.01
Se (0.333, 0.667, 0.765)  -0.01

Values from the calculation:
Space group = P6/mmm, No. 191
E = -53.72 eV per cell



Record 3
Li2Mo15Se19: optimized geometry, PBE-GGA.

Lattice parameters (Å, degrees): 20.438 20.438 20.438 27.24 27.24 27.24
Positions (direct):
Li (0.114, 0.114, 0.114)
Li (0.386, 0.386, 0.386)
Li (0.614, 0.614, 0.614)
Li (0.886, 0.886, 0.886)
Mo (0.130, 0.810, 0.001)
Mo (0.362, 0.226, 0.045)
Mo (0.250, 0.412, 0.088)
Mo (0.810, 0.001, 0.130)
Mo (0.455, 0.274, 0.138)
Mo (0.999, 0.870, 0.190)
Mo (0.045, 0.362, 0.226)
Mo (0.412, 0.088, 0.250)
Mo (0.138, 0.455, 0.274)
Mo (0.630, 0.501, 0.310)
Mo (0.226, 0.045, 0.362)
Mo (0.499, 0.690, 0.370)
Mo (0.088, 0.250, 0.412)
Mo (0.274, 0.138, 0.455)
Mo (0.690, 0.370, 0.499)
Mo (0.310, 0.630, 0.501)
Mo (0.726, 0.862, 0.545)
Mo (0.912, 0.750, 0.588)
Mo (0.501, 0.310, 0.630)
Mo (0.774, 0.955, 0.638)
Mo (0.370, 0.499, 0.690)
Mo (0.862, 0.545, 0.726)
Mo (0.588, 0.912, 0.750)
Mo (0.955, 0.638, 0.774)
Mo (0.001, 0.130, 0.810)
Mo (0.545, 0.726, 0.862)
Mo (0.190, 0.999, 0.870)
Mo (0.750, 0.588, 0.912)
Mo (0.638, 0.774, 0.955)
Mo (0.870, 0.190, 0.999)
Se (0.677, 0.419, 0.049)
Se (0.054, 0.054, 0.054)
Se (0.306, 0.687, 0.056)
Se (0.438, 0.750, 0.062)
Se (0.823, 0.451, 0.081)
Se (0.177, 0.177, 0.177)
Se (0.549, 0.919, 0.177)
Se (0.806, 0.556, 0.187)
Se (0.444, 0.813, 0.194)
Se (0.938, 0.562, 0.250)
Se (0.687, 0.056, 0.306)
Se (0.944, 0.694, 0.313)
Se (0.581, 0.951, 0.323)
Se (0.323, 0.323, 0.323)
Se (0.049, 0.677, 0.419)
Se (0.750, 0.062, 0.438)
Se (0.813, 0.194, 0.444)
Se (0.446, 0.446, 0.446)
Se (0.081, 0.823, 0.451)
Se (0.919, 0.177, 0.549)
Se (0.554, 0.554, 0.554)
Se (0.187, 0.806, 0.556)
Se (0.250, 0.938, 0.562)
Se (0.951, 0.323, 0.581)
Se (0.677, 0.677, 0.677)
Se (0.419, 0.049, 0.677)
Se (0.056, 0.306, 0.687)
Se (0.313, 0.944, 0.694)
Se (0.062, 0.438, 0.750)
Se (0.556, 0.187, 0.806)
Se (0.194, 0.444, 0.813)
Se (0.451, 0.081, 0.823)
Se (0.823, 0.823, 0.823)
Se (0.177, 0.549, 0.919)
Se (0.562, 0.250, 0.938)
Se (0.694, 0.313, 0.944)
Se (0.946, 0.946, 0.946)
Se (0.323, 0.581, 0.951)

Values from the calculation:
Space group = R-3c, No. 167
E = -504.51 eV per cell